Arrangement a

A geometry-optimized Zr2ScTl2 structure. Source: Alexandria via LeMat-Bulk, functional PBE.

Unit cell a=7.700 b=7.700 c=4.035 alpha=90.00 beta=90.00 gamma=90.00
Space group P4/mbm (No. 127)
Inequivalent atoms, fractional coordinates:
Zr: 0.168 0.332 0.000 x4
Sc: 0.000 0.000 0.500 x2
Tl: 0.136 0.636 0.500 x4

**Theoretical density**: 8.8 g/cm³

=====

Arrangement b

A geometry-optimized Zr2ScTl2 structure. Source: Alexandria via LeMat-Bulk, functional PBE.

Unit cell a=3.169 b=8.212 c=10.437 alpha=108.97 beta=98.72 gamma=101.07
Space group P-1 (No. 2)
Inequivalent atoms, fractional coordinates:
Zr: 0.116 0.200 0.032 x2
Zr: 0.371 0.390 0.352 x2
Sc: 0.373 0.605 0.141 x2
Tl: 0.097 0.761 0.434 x2
Tl: 0.369 0.973 0.766 x2

**Theoretical density**: 8.6 g/cm³

=====

Arrangement c

A geometry-optimized Zr2ScTl2 structure. Source: Alexandria via LeMat-Bulk, functional PBE.

Unit cell a=8.708 b=8.708 c=3.240 alpha=90.00 beta=90.00 gamma=90.00
Space group P4/mbm (No. 127)
Inequivalent atoms, fractional coordinates:
Zr: 0.122 0.378 0.000 x4
Sc: 0.000 0.000 0.000 x2
Tl: 0.177 0.677 0.500 x4

**Theoretical density**: 8.6 g/cm³

=====

Q: Which of them is the least stable? A: arrangement c.

=====

Arrangement a

A geometry-optimized Tm7Sc structure. Source: Alexandria via LeMat-Bulk, functional PBE.

Unit cell a=9.785 b=9.785 c=9.785 alpha=90.00 beta=90.00 gamma=90.00
Space group Fm-3m (No. 225)
Inequivalent atoms, fractional coordinates:
Tm: 0.000 0.000 0.000 x4
Tm: 0.000 0.250 0.250 x24
Sc: 0.000 0.000 0.500 x4

**Theoretical density**: 8.7 g/cm³

=====

Arrangement b

A geometry-optimized Tm7Sc structure. Source: Alexandria via LeMat-Bulk, functional PBE.

Unit cell a=3.454 b=10.888 c=12.569 alpha=90.00 beta=90.00 gamma=90.00
Space group Immm (No. 71)
Inequivalent atoms, fractional coordinates:
Tm: 0.000 0.000 0.000 x2
Tm: 0.000 0.000 0.264 x4
Tm: 0.000 0.269 0.368 x8
Sc: 0.000 0.500 0.000 x2

**Theoretical density**: 8.6 g/cm³

=====

Q: Which of them is the least stable? A: arrangement b.

=====

Arrangement a

A geometry-optimized Tm4Sc structure. Source: Alexandria via LeMat-Bulk, functional PBE.

Unit cell a=5.299 b=16.059 c=3.419 alpha=90.00 beta=90.00 gamma=90.00
Space group Cmmm (No. 65)
Inequivalent atoms, fractional coordinates:
Tm: 0.000 0.108 0.000 x4
Tm: 0.000 0.303 0.500 x4
Sc: 0.000 0.500 0.500 x2

**Theoretical density**: 8.2 g/cm³

=====

Arrangement b

A geometry-optimized Tm4Sc structure. Source: Alexandria via LeMat-Bulk, functional PBE.

Unit cell a=5.975 b=3.455 c=14.115 alpha=90.00 beta=98.00 gamma=90.00
Space group C2/m (No. 12)
Inequivalent atoms, fractional coordinates:
Tm: 0.102 0.000 0.307 x4
Tm: 0.201 0.500 0.102 x4
Sc: 0.000 0.500 0.500 x2

**Theoretical density**: 8.3 g/cm³

=====

Arrangement c

A geometry-optimized Tm4Sc structure. Source: Alexandria via LeMat-Bulk, functional PBE.

Unit cell a=5.444 b=5.444 c=5.444 alpha=90.00 beta=90.00 gamma=90.00
Space group Pm-3m (No. 221)
Inequivalent atoms, fractional coordinates:
Tm: 0.000 0.000 0.000 x1
Tm: 0.000 0.500 0.500 x3
Sc: 0.500 0.500 0.500 x1

**Theoretical density**: 7.4 g/cm³

=====

Q: Which of them is the least stable? A: arrangement c.

=====

Arrangement a

A geometry-optimized Tm3Sc8 structure. Source: Alexandria via LeMat-Bulk, functional PBE.

Unit cell a=9.8184 b=9.8184 c=11.0669 alpha=90.00 beta=90.00 gamma=120.00
Space group R-3 (No. 148, hexagonal axes)
Inequivalent atoms, fractional coordinates:
Tm: 0.0000 0.5000 0.0000 x9
Sc: 0.0000 0.0000 0.3523 x6
Sc: 0.0173 0.8225 0.8882 x18

**Theoretical density**: 4.7 g/cm³

=====

Arrangement b

A geometry-optimized Tm3Sc8 structure. Source: Alexandria via LeMat-Bulk, functional PBE.

Unit cell a=12.049 b=3.456 c=14.406 alpha=90.00 beta=107.08 gamma=90.00
Space group C2/m (No. 12)
Inequivalent atoms, fractional coordinates:
Tm: 0.000 0.000 0.000 x2
Tm: 0.096 0.000 0.615 x4
Sc: 0.030 0.500 0.791 x4
Sc: 0.150 0.500 0.425 x4
Sc: 0.191 0.000 0.239 x4
Sc: 0.235 0.000 0.912 x4

**Theoretical density**: 5.0 g/cm³

=====

Q: Which of them is the least stable? A: arrangement a.